[1]
Computed, not measured: SmSc2Co after structural relaxation at the GGA-PBE level of DFT.

## Properties
DOS(E_F)   1.074 states/eV per atom
Total DFT energy (no corrections)   -25.059 eV/cell
Symmetry   No. 123

a = 3.226 Å, b = 3.226 Å, c = 8.400 Å
α = 90.00°, β = 90.00°, γ = 90.00°
Atoms (fractional coordinates):
Sm  0.000  0.000  0.000
Sc  0.500  0.500  0.322
Sc  0.500  0.500  0.678
Co  0.000  0.000  0.500

[2]
Computed, not measured: SmScZnCo after structural relaxation at the GGA-PBE level of DFT.

## Properties
DOS(E_F)   0.694 states/eV per atom
Total DFT energy (no corrections)   -20.222 eV/cell
Symmetry   No. 216

a = 4.789 Å, b = 4.789 Å, c = 4.789 Å
α = 60.00°, β = 60.00°, γ = 60.00°
Atoms (fractional coordinates):
Sm  0.000  0.000  0.000
Sc  0.500  0.500  0.500
Zn  0.250  0.250  0.250
Co  0.750  0.750  0.750

[3]
Computed, not measured: ScCoSn4 after structural relaxation at the GGA-PBE level of DFT.

## Properties
DOS(E_F)   0.608 states/eV per atom
Total DFT energy (no corrections)   -60.541 eV/cell
Symmetry   No. 16

a = 6.344 Å, b = 6.418 Å, c = 6.610 Å
α = 90.00°, β = 90.00°, γ = 90.00°
Atoms (fractional coordinates):
Sc  0.000  0.000  0.000
Sc  0.500  0.500  0.000
Co  0.000  0.000  0.500
Co  0.500  0.000  0.000
Sn  0.181  0.313  0.279
Sn  0.181  0.687  0.721
Sn  0.316  0.191  0.700
Sn  0.316  0.809  0.300
Sn  0.684  0.191  0.300
Sn  0.684  0.809  0.700
Sn  0.819  0.313  0.721
Sn  0.819  0.687  0.279

[4]
Computed, not measured: ScCoSn after structural relaxation at the GGA-PBE level of DFT.

## Properties
DOS(E_F)   1.457 states/eV per atom
Total DFT energy (no corrections)   -18.593 eV/cell
Symmetry   No. 216

a = 4.354 Å, b = 4.354 Å, c = 4.354 Å
α = 60.00°, β = 60.00°, γ = 60.00°
Atoms (fractional coordinates):
Sc  0.000  0.000  0.000
Co  0.250  0.250  0.250
Sn  0.500  0.500  0.500

[5]
Computed, not measured: ScCoSn after structural relaxation at the GGA-PBE level of DFT.

## Properties
DOS(E_F)   0.647 states/eV per atom
Total DFT energy (no corrections)   -36.035 eV/cell
Symmetry   No. 65

a = 6.067 Å, b = 6.067 Å, c = 3.384 Å
α = 90.00°, β = 90.00°, γ = 92.37°
Atoms (fractional coordinates):
Sc  0.211  0.211  0.000
Sc  0.789  0.789  0.000
Co  0.000  0.000  0.500
Co  0.500  0.500  0.000
Sn  0.281  0.719  0.500
Sn  0.719  0.281  0.500

[6]
Computed, not measured: Sc12Co5Sn after structural relaxation at the GGA-PBE level of DFT.

## Properties
DOS(E_F)   0.724 states/eV per atom
Total DFT energy (no corrections)   -122.059 eV/cell
Symmetry   No. 71

a = 7.689 Å, b = 7.689 Å, c = 7.689 Å
α = 111.35°, β = 111.04°, γ = 106.07°
Atoms (fractional coordinates):
Sc  0.012  0.815  0.197
Sc  0.220  0.525  0.304
Sc  0.220  0.916  0.696
Sc  0.279  0.316  0.595
Sc  0.279  0.684  0.964
Sc  0.382  0.185  0.197
Sc  0.618  0.815  0.803
Sc  0.721  0.316  0.036
Sc  0.721  0.684  0.405
Sc  0.780  0.084  0.304
Sc  0.780  0.475  0.696
Sc  0.988  0.185  0.803
Co  0.000  0.138  0.138
Co  0.000  0.500  0.500
Co  0.000  0.862  0.862
Co  0.381  0.381  0.000
Co  0.619  0.619  0.000
Sn  0.500  0.000  0.500

Formation energy from the elements, record by record: -3.29, -4.56, -3.16, -8.86, -4.44, -8.39 kcal/mol of atoms